[1]
PBE-GGA Pm4Sn5Pt2, relaxed; theoretical density = 8.96 Mg/m³; E = -5.47 eV per atom; Fermi-level density of states = 4.91 states/eV per cell; DFT formation energy = -0.82 eV/atom
1.0
7.8186 0.0000 0.0000
0.0000 3.9336 0.0000
-0.2860 0.0000 9.4193
Pm Sn Pt
4 5 2
Cartesian
1.5570 0.0000 3.3610
1.4821 0.0000 8.6301
6.0505 0.0000 0.7891
5.9756 0.0000 6.0583
0.8321 1.9668 5.9446
3.4474 1.9668 1.5059
3.7663 1.9668 4.7096
4.0852 1.9668 7.9134
6.7005 1.9668 3.4746
0.6155 1.9668 1.2597
6.9171 1.9668 8.1595

=====

[2]
PBE-GGA PmSn2Pt, relaxed; relative energy among the computed polymorphs = 0.20 eV/f.u.; theoretical density = 9.75 Mg/m³; E = -5.46 eV per atom; Fermi-level density of states = 5.49 states/eV per cell; DFT formation energy = -0.76 eV/atom
1.0
7.5581 0.0000 0.0000
0.0000 4.5726 0.0000
0.0000 0.0000 11.3825
Pm Sn Pt
4 8 4
Cartesian
1.6123 1.1432 1.7842
2.1668 3.4295 7.4754
5.3913 1.1432 3.9071
5.9458 3.4295 9.5983
0.8537 1.1432 9.9205
1.1478 1.1432 5.0569
2.6313 3.4295 10.7482
2.9253 3.4295 4.2293
4.6328 1.1432 7.1532
4.9268 1.1432 0.6343
6.4103 3.4295 6.3256
6.7043 3.4295 1.4620
0.0653 3.4295 3.9286
3.7137 1.1432 9.6198
3.8444 3.4295 1.7627
7.4927 1.1432 7.4539

=====

[3]
PBE-GGA Pm6Sn3Pt, relaxed; theoretical density = 7.61 Mg/m³; E = -5.29 eV per atom; Fermi-level density of states = 18.45 states/eV per cell; DFT formation energy = -0.64 eV/atom
1.0
6.2973 0.0000 0.0000
0.0000 8.8842 0.0000
-6.0395 0.0000 11.0807
Pm Sn Pt
12 6 2
Cartesian
-2.2956 1.4473 4.8553
-5.3154 2.9948 10.3956
-0.5259 6.1053 4.8605
-3.5456 7.2210 10.4008
0.8980 0.4060 2.9009
-2.1217 4.0361 8.4412
2.3795 4.8481 2.6395
-0.6403 8.4782 8.1798
3.8034 1.6632 0.6799
0.7837 2.7789 6.2202
5.5731 5.8894 0.6850
2.5534 7.4369 6.2254
0.0000 0.0000 0.0000
-3.0198 4.4421 5.5403
-3.5498 1.0373 8.4053
-0.5300 3.4049 2.8649
0.7878 5.4794 8.2157
3.8076 7.8470 2.6754
0.1289 0.0000 5.5403
3.1486 4.4421 0.0000

=====

[4]
PBE-GGA Pm6SnPt2, relaxed; theoretical density = 8.75 Mg/m³; E = -5.67 eV per atom; Fermi-level density of states = 18.28 states/eV per cell; DFT formation energy = -0.71 eV/atom
1.0
-4.7883 5.0342 5.4306
4.7883 -5.0342 5.4306
4.7883 5.0342 -5.4306
Pm Sn Pt
12 2 4
Cartesian
4.7883 3.0172 -2.8954
2.7977 1.8310 0.0000
6.7789 1.8310 0.0000
1.8632 5.0342 -1.8578
2.9251 0.0000 3.5728
0.0000 2.0170 2.5352
4.7883 3.0172 2.8954
1.8632 5.0342 1.8578
2.9251 0.0000 7.2885
-1.9906 3.2032 5.4306
1.9906 3.2032 5.4306
0.0000 2.0170 8.3260
0.0000 0.0000 0.0000
0.0000 0.0000 5.4306
4.7883 0.0000 1.4310
0.0000 3.4604 0.0000
0.0000 6.6080 0.0000
0.0000 5.0342 3.9996

=====

[5]
PBE-GGA PmSnPt3, relaxed; relative energy among the computed polymorphs = 0.00 eV/f.u.; theoretical density = 13.75 Mg/m³; E = -6.15 eV per atom; Fermi-level density of states = 9.80 states/eV per cell; DFT formation energy = -0.78 eV/atom
1.0
8.9432 0.0000 0.0000
0.0000 5.6307 0.0000
-1.2238 0.0000 8.1443
Pm Sn Pt
4 4 12
Cartesian
0.7728 0.5704 1.6512
0.1609 2.2450 5.7233
7.5585 3.3857 2.4210
6.9466 5.0603 6.4932
3.0750 3.9653 5.1536
3.6869 4.4807 1.0815
4.0325 1.1500 7.0629
4.6444 1.6654 2.9907
1.0430 3.5818 0.2942
0.4311 4.8642 4.3663
1.8874 3.0301 2.8726
1.2755 5.4159 6.9448
2.6951 1.0398 4.7410
3.3070 1.7756 0.6688
4.4124 3.8551 7.4755
5.0243 4.5909 3.4033
6.4439 0.2147 1.1996
5.8320 2.6006 5.2717
7.2883 0.7665 3.7780
6.6764 2.0488 7.8502

=====

[6]
PBE-GGA Pm4SnPt, relaxed; relative energy among the computed polymorphs = 0.21 eV/f.u.; theoretical density = 8.52 Mg/m³; E = -5.47 eV per atom; Fermi-level density of states = 13.83 states/eV per cell; DFT formation energy = -0.63 eV/atom
1.0
4.4753 -7.0887 0.0000
4.4753 7.0887 0.0000
-2.2480 0.0000 5.4918
Pm Sn Pt
8 2 2
Cartesian
1.3603 4.4694 5.1016
1.0975 1.0592 3.5960
4.2184 4.4694 3.1361
2.2215 -1.0592 0.8501
4.4811 1.0592 4.6417
2.4843 -4.4694 2.3557
5.6051 -1.0592 1.8958
5.3424 -4.4694 0.3902
3.9133 1.7276 1.3730
2.7893 -1.7276 4.1189
3.9133 7.0819 1.3730
2.7893 -7.0819 4.1189

=====

[7]
PBE-GGA Pm4Sn8Pt, relaxed; theoretical density = 8.20 Mg/m³; E = -5.06 eV per atom; Fermi-level density of states = 6.59 states/eV per cell; DFT formation energy = -0.67 eV/atom
1.0
4.4588 0.0000 0.0000
0.0000 4.5056 0.0000
0.0000 0.0000 17.3934
Pm Sn Pt
4 8 1
Cartesian
0.0000 0.0000 0.0000
0.0000 2.2528 8.4414
2.2294 0.0000 13.6815
2.2294 2.2528 5.0260
0.0000 0.0000 5.6228
0.0000 0.0000 10.8429
0.0000 2.2528 2.4939
0.0000 2.2528 14.9312
2.2294 0.0000 2.5542
2.2294 0.0000 7.6598
2.2294 2.2528 10.8103
2.2294 2.2528 16.8694
0.0000 2.2528 12.3298

=====

[8]
PBE-GGA Pm3SnPt8, relaxed; theoretical density = 15.02 Mg/m³; E = -6.49 eV per atom; Fermi-level density of states = 6.58 states/eV per cell; DFT formation energy = -0.94 eV/atom
1.0
2.7504 1.5879 8.9227
-2.7504 1.5879 8.9227
0.0000 -3.1759 8.9227
Pm Sn Pt
3 1 8
Cartesian
0.0000 0.0000 0.0000
0.0000 0.0000 3.4647
0.0000 0.0000 13.8050
0.0000 0.0000 17.2721
0.0000 -1.5760 6.2500
-1.3649 0.7880 6.2500
-1.3597 -0.7850 10.7863
0.0000 0.0000 8.4940
1.3649 0.7880 6.2500
1.3597 -0.7850 10.7863
0.0000 1.5700 10.7863
0.0000 0.0000 21.8947

=====

[9]
PBE-GGA Pm5Sn5Pt2, relaxed; theoretical density = 9.01 Mg/m³; E = -5.51 eV per atom; Fermi-level density of states = 4.83 states/eV per cell; DFT formation energy = -0.86 eV/atom
1.0
8.1992 -2.3513 0.0000
8.1992 2.3513 0.0000
-6.8545 0.0000 8.1688
Pm Sn Pt
5 5 2
Cartesian
0.0000 0.0000 0.0000
-0.8188 0.0000 3.4835
-2.8012 0.0000 6.7688
12.3452 0.0000 1.4000
10.3628 0.0000 4.6853
2.2428 0.0000 2.2379
6.3315 0.0000 1.2316
4.7720 0.0000 4.0844
3.2124 0.0000 6.9372
7.3011 0.0000 5.9309
0.5347 0.0000 6.1661
9.0093 0.0000 2.0027

=====

[10]
PBE-GGA Pm8Sn3Pt, relaxed; theoretical density = 7.12 Mg/m³; E = -5.16 eV per atom; Fermi-level density of states = 15.25 states/eV per cell; DFT formation energy = -0.49 eV/atom
1.0
-3.6793 3.6793 7.3722
3.6793 -3.6793 7.3722
3.6793 3.6793 -7.3722
Pm Sn Pt
8 3 1
Cartesian
1.7597 1.7597 -1.7495
1.9196 -1.9196 5.6227
1.7597 1.7597 1.7495
1.9196 -1.9196 9.1217
-1.9196 1.9196 5.6227
1.9196 1.9196 5.6227
-1.9196 1.9196 9.1217
1.9196 1.9196 9.1217
3.6793 0.0000 3.6861
0.0000 0.0000 7.3722
0.0000 3.6793 3.6861
0.0000 0.0000 0.0000

=====

[11]
PBE-GGA Pm7Sn2Pt, relaxed; theoretical density = 7.72 Mg/m³; E = -5.15 eV per atom; Fermi-level density of states = 10.38 states/eV per cell; DFT formation energy = -0.42 eV/atom
1.0
5.2678 0.0000 0.0000
-2.6339 4.5620 0.0000
0.0000 0.0000 12.9641
Pm Sn Pt
7 2 1
Cartesian
0.0000 0.0000 0.0000
0.0000 0.0000 3.1774
0.0000 0.0000 9.4657
0.0000 3.0414 4.9830
0.0000 3.0414 11.6671
2.6339 1.5207 1.7402
2.6339 1.5207 7.3358
0.0000 0.0000 6.3152
2.6339 1.5207 10.7287
0.0000 3.0414 1.8363

=====

[12]
PBE-GGA Pm3Sn3Pt2, relaxed; theoretical density = 9.80 Mg/m³; E = -5.74 eV per atom; Fermi-level density of states = 16.93 states/eV per cell; DFT formation energy = -0.95 eV/atom
1.0
8.5024 0.0000 0.0000
0.0000 15.6471 0.0000
0.0000 0.0000 6.0179
Pm Sn Pt
12 12 8
Cartesian
0.2812 1.7382 0.7186
0.2812 6.0854 0.7186
1.4636 3.9118 3.8300
2.7876 11.7354 0.8210
3.9700 9.5617 3.7275
3.9700 13.9090 3.7275
4.5324 1.7382 2.2904
4.5324 6.0854 2.2904
5.7148 3.9118 5.1970
7.0388 11.7354 2.1880
8.2212 9.5617 5.2994
8.2212 13.9090 5.2994
1.5524 11.7354 3.7729
1.6404 0.5624 3.6480
1.6404 7.2612 3.6480
2.6108 8.3860 0.6390
2.6108 15.0847 0.6390
2.6988 3.9118 0.7640
5.8035 11.7354 5.2540
5.8916 0.5624 5.3789
5.8916 7.2612 5.3789
6.8620 8.3860 2.3699
6.8620 15.0847 2.3699
6.9500 3.9118 2.2450
0.7623 9.5816 2.2429
0.7623 13.8892 2.2429
3.4889 1.7580 5.2519
3.4889 6.0656 5.2519
5.0135 9.5816 0.7660
5.0135 13.8892 0.7660
7.7401 1.7580 3.7750
7.7401 6.0656 3.7750

=====

[13]
PBE-GGA Pm2SnPt, relaxed; theoretical density = 9.71 Mg/m³; E = -5.76 eV per atom; Fermi-level density of states = 3.35 states/eV per cell; DFT formation energy = -0.88 eV/atom
1.0
3.5861 0.0000 0.0000
0.0000 3.5861 0.0000
0.0000 0.0000 8.0251
Pm Sn Pt
2 1 1
Cartesian
0.0000 0.0000 1.7629
0.0000 0.0000 6.2621
1.7931 1.7931 4.0125
1.7931 1.7931 0.0000

=====

[14]
PBE-GGA Pm2Sn2Pt15, relaxed; theoretical density = 16.52 Mg/m³; E = -6.19 eV per atom; Fermi-level density of states = 15.55 states/eV per cell; DFT formation energy = -0.50 eV/atom
1.0
4.7195 2.7248 4.5004
-4.7195 2.7248 4.5004
0.0000 -5.4496 4.5004
Pm Sn Pt
2 2 15
Cartesian
0.0000 0.0000 1.9567
0.0000 0.0000 11.5445
0.0000 0.0000 5.3416
0.0000 0.0000 8.1597
-2.3598 -1.3624 4.5004
0.0000 -2.7749 4.4710
-2.4031 1.3875 4.4710
-1.5554 -2.6941 6.7506
-3.1108 0.0000 6.7506
-2.4031 -1.3875 9.0302
-2.3597 1.3624 9.0008
1.5554 -2.6941 6.7506
0.0000 2.7248 4.5004
-1.5554 2.6941 6.7506
2.4031 1.3874 4.4710
3.1108 0.0000 6.7506
1.5554 2.6941 6.7506
2.4031 -1.3875 9.0302
0.0000 2.7749 9.0302

=====

[15]
PBE-GGA PmSn4Pt4, relaxed; theoretical density = 11.54 Mg/m³; E = -5.56 eV per atom; Fermi-level density of states = 9.03 states/eV per cell; DFT formation energy = -0.57 eV/atom
1.0
6.8275 0.0000 0.0000
0.0000 6.8275 0.0000
0.0000 0.0000 8.6446
Pm Sn Pt
2 8 8
Cartesian
1.7069 5.1207 2.1612
5.1207 1.7069 6.4835
0.0537 1.7069 1.0309
1.7069 0.0537 5.3532
1.7069 3.3601 5.3532
3.3601 1.7069 1.0309
3.4675 5.1207 7.6137
5.1207 3.4675 3.2914
5.1207 6.7738 3.2914
6.7738 5.1207 7.6137
0.2901 1.7069 3.7062
1.7069 0.2901 8.0285
1.7069 3.1236 8.0285
3.1236 1.7069 3.7062
3.7039 5.1207 4.9384
5.1207 3.7039 0.6161
5.1207 6.5374 0.6161
6.5374 5.1207 4.9384

=====

[16]
PBE-GGA Pm2Sn5Pt3, relaxed; relative energy among the computed polymorphs = 0.00 eV/f.u.; theoretical density = 10.72 Mg/m³; E = -5.56 eV per atom; Fermi-level density of states = 5.77 states/eV per cell; DFT formation energy = -0.80 eV/atom
1.0
2.2923 -13.2950 0.0000
2.2923 13.2950 0.0000
0.0000 0.0000 7.4646
Pm Sn Pt
4 10 6
Cartesian
2.2923 12.6692 3.7323
2.2923 4.5818 3.5971
2.2923 -4.5818 7.3294
2.2923 -12.6692 0.0000
2.2923 10.6980 0.9892
2.2923 7.8723 5.0725
2.2923 7.6859 1.9172
2.2923 3.1874 0.0428
2.2923 1.2795 2.5329
2.2923 -1.2795 6.2653
2.2923 -3.1874 3.7751
2.2923 -7.6859 5.6495
2.2923 -7.8723 1.3402
2.2923 -10.6980 4.7215
2.2923 10.5021 5.6777
2.2923 5.9316 7.1566
2.2923 1.3541 5.3619
2.2923 -1.3541 1.6296
2.2923 -5.9316 3.4243
2.2923 -10.5021 1.9454

=====

[17]
PBE-GGA PmSn3Pt, relaxed; relative energy among the computed polymorphs = 0.00 eV/f.u.; theoretical density = 8.96 Mg/m³; E = -5.17 eV per atom; Fermi-level density of states = 3.83 states/eV per cell; DFT formation energy = -0.61 eV/atom
1.0
5.5760 -2.3094 0.0000
5.5760 2.3094 0.0000
-3.0321 0.0000 10.0184
Pm Sn Pt
2 6 2
Cartesian
0.5816 0.0000 2.1273
7.5384 0.0000 7.8911
-0.2592 0.0000 7.3848
2.2694 0.0000 5.1683
4.0980 0.0000 0.2640
4.0219 0.0000 9.7544
5.8505 0.0000 4.8502
8.3791 0.0000 2.6336
4.0117 0.0000 2.9464
4.1083 0.0000 7.0720

=====

[18]
PBE-GGA Pm12SnPt6, relaxed; theoretical density = 9.27 Mg/m³; E = -5.93 eV per atom; Fermi-level density of states = 16.92 states/eV per cell; DFT formation energy = -0.81 eV/atom
1.0
-5.1385 5.1385 5.1385
5.1385 -5.1385 5.1385
5.1385 5.1385 -5.1385
Pm Sn Pt
12 1 6
Cartesian
5.1385 -2.0274 3.2846
3.1111 1.8539 0.0000
7.1659 1.8539 0.0000
3.2846 5.1385 -2.0274
1.8539 0.0000 3.1111
0.0000 3.1111 1.8539
5.1385 2.0274 3.2846
3.2846 5.1385 2.0274
1.8539 0.0000 7.1659
-2.0274 3.2846 5.1385
2.0274 3.2846 5.1385
0.0000 7.1659 1.8539
0.0000 0.0000 0.0000
5.1385 0.0000 1.3966
5.1385 3.7419 0.0000
1.3966 5.1385 0.0000
3.7419 0.0000 5.1385
0.0000 1.3966 5.1385
0.0000 5.1385 3.7419